(1)
! AgPbCl2 | Alexandria | PBE-GGA | relaxed; values from VASP
&SYSTEM
  ibrav = 0, nat = 4, ntyp = 3
/
ATOMIC_SPECIES
Pb 207.20 Pb.upf
Cl 35.45 Cl.upf
Ag 107.87 Ag.upf
ATOMIC_POSITIONS crystal
Pb 0.4906 0.4906 0.4906
Cl 0.0325 0.0325 0.0325
Ag 0.7456 0.7456 0.7456
Cl 0.2314 0.2314 0.2314
CELL_PARAMETERS angstrom
8.2989 0.0081 0.0049
7.2931 3.9600 0.0049
7.2931 1.8560 3.4981
! Offset from the most stable computed form in eV per atom: 0.000
! Formation energy (no corrections) in eV/atom: -0.4970
! Space-group type: No. 160
! Magnetization in Bohr magnetons per cell: 0.0
! Energy in eV/atom: -3.0602

(2)
! Ho6PtSe2S3 | Alexandria | PBE-GGA | relaxed; values from VASP
&SYSTEM
  ibrav = 0, nat = 12, ntyp = 4
/
ATOMIC_SPECIES
S 32.06 S.upf
Ho 164.93 Ho.upf
Se 78.96 Se.upf
Pt 195.08 Pt.upf
ATOMIC_POSITIONS crystal
S 0.1738 0.8262 0.5000
Ho 0.4090 0.0833 0.2553
Ho 0.2381 0.2381 0.7388
S 0.8262 0.1738 0.5000
Se 0.6650 0.3350 0.0000
Ho 0.7619 0.7619 0.2612
Se 0.3350 0.6650 0.0000
Ho 0.5910 0.9167 0.7447
Ho 0.9167 0.5910 0.7447
Ho 0.0833 0.4090 0.2553
S 0.5000 0.5000 0.5000
Pt 0.0000 0.0000 0.0000
CELL_PARAMETERS angstrom
6.9186 0.0009 -0.0022
-3.4568 5.9931 -0.0022
-1.1570 -2.0033 6.4819
! Formation energy (no corrections) in eV/atom: -1.7737
! Space-group type: No. 12
! Magnetization in Bohr magnetons per cell: 0.0
! Energy in eV/atom: -6.1786

(3)
! Tb11Tl9Ru4 | Alexandria | PBE-GGA | relaxed; values from VASP
&SYSTEM
  ibrav = 0, nat = 24, ntyp = 3
/
ATOMIC_SPECIES
Tl 204.38 Tl.upf
Tb 158.93 Tb.upf
Ru 101.07 Ru.upf
ATOMIC_POSITIONS crystal
Tl 0.5000 0.0705 0.2171
Tl 0.5000 0.3698 0.8496
Tb 0.0000 0.8366 0.1634
Tl 0.5000 0.9295 0.7829
Tb 0.0000 0.9128 0.5821
Tl 0.5000 0.5000 0.5000
Tb 0.0000 0.5821 0.9128
Tl 0.5000 0.6302 0.1504
Tl 0.5000 0.7829 0.9295
Tl 0.5000 0.2171 0.0705
Tb 0.0000 0.3728 0.6272
Tl 0.5000 0.8496 0.3698
Ru 0.5000 0.7462 0.5486
Tl 0.5000 0.1504 0.6302
Tb 0.0000 0.3113 0.3113
Tb 0.0000 0.1634 0.8366
Tb 0.0000 0.0872 0.4179
Tb 0.0000 0.0000 0.0000
Ru 0.5000 0.4514 0.2538
Tb 0.0000 0.4179 0.0872
Tb 0.0000 0.6272 0.3728
Tb 0.0000 0.6887 0.6887
Ru 0.5000 0.2538 0.4514
Ru 0.5000 0.5486 0.7462
CELL_PARAMETERS angstrom
3.7741 0.0000 0.0000
0.0000 12.1185 -5.1046
0.0000 0.0685 13.1495
! DFT formation energy in eV/f.u.: -8.76
! Space-group type: No. 65
! Magnetization in Bohr magnetons per cell: 0.0
! Energy in eV/atom: -4.9204